# 1
Material: Mg2CrCu
Method: DFT, PBE
State: optimized geometry

## Properties
* polymorph energy (0 for the lowest one): 0.025 eV/atom
* energy relative to the elements: 95 kJ/mol of formula units
* symmetry: P4/mmm

```
Mg2CrCu
1.0
4.139 0.000 0.000
0.000 4.139 0.000
0.000 0.000 3.943
Mg Cr Cu
2 1 1
Direct
0.000 0.500 0.000
0.500 0.000 0.000
0.000 0.000 0.500
0.500 0.500 0.500
```


# 2
Material: Ca2YAu
Method: DFT, PBE
State: optimized geometry

## Properties
* polymorph energy (0 for the lowest one): 0.357 eV/atom
* energy relative to the elements: -18 kJ/mol of formula units
* symmetry: Fm-3m

```
Ca2YAu
1.0
0.000 3.838 3.838
3.838 0.000 3.838
3.838 3.838 0.000
Ca Y Au
2 1 1
Direct
0.250 0.250 0.250
0.750 0.750 0.750
0.000 0.000 0.000
0.500 0.500 0.500
```


# 3
Material: Ac2TlP
Method: DFT, PBE
State: optimized geometry

## Properties
* polymorph energy (0 for the lowest one): 0.000 eV/atom
* energy relative to the elements: -330 kJ/mol of formula units
* symmetry: R-3m

```
Ac2TlP
1.0
2.179 1.258 8.541
-2.179 1.258 8.541
0.000 -2.516 8.541
Ac Tl P
2 1 1
Direct
0.236 0.236 0.236
0.764 0.764 0.764
0.000 0.000 0.000
0.500 0.500 0.500
```


# 4
Material: Sm12Er6Tm
Method: DFT, PBE
State: optimized geometry

## Properties
* polymorph energy (0 for the lowest one): 0.000 eV/atom
* energy relative to the elements: 239 kJ/mol of formula units
* symmetry: R-3m

```
Sm12Er6Tm
1.0
6.540 3.776 4.315
-6.540 3.776 4.315
0.000 -7.552 4.315
Sm Er Tm
12 6 1
Direct
0.000 0.263 0.737
0.000 0.737 0.263
0.168 0.585 0.585
0.263 0.000 0.737
0.263 0.737 0.000
0.415 0.415 0.832
0.415 0.832 0.415
0.585 0.168 0.585
0.585 0.585 0.168
0.737 0.000 0.263
0.737 0.263 0.000
0.832 0.415 0.415
0.138 0.138 0.406
0.138 0.406 0.138
0.406 0.138 0.138
0.594 0.862 0.862
0.862 0.594 0.862
0.862 0.862 0.594
0.000 0.000 0.000
```


# 5
Material: Li2NpHgF8
Method: DFT, PBE
State: optimized geometry

## Properties
* energy relative to the elements, uncorrected: -2.61 eV/atom
* symmetry: P-3m1

```
Li2NpHgF8
1.0
5.482 0.000 0.000
-2.741 4.748 0.000
0.000 0.000 8.067
Li Np Hg F
2 1 1 8
Direct
0.333 0.667 0.190
0.667 0.333 0.810
0.000 0.000 0.500
0.000 0.000 0.000
0.171 0.342 0.339
0.171 0.829 0.339
0.333 0.667 0.968
0.342 0.171 0.661
0.658 0.829 0.339
0.667 0.333 0.032
0.829 0.171 0.661
0.829 0.658 0.661
```


# 6
Material: HfTlZnCo2
Method: DFT, PBE
State: optimized geometry

## Properties
* energy relative to the elements: 412 kJ/mol of formula units
* symmetry: P4/mmm

```
HfTlZnCo2
1.0
4.447 0.000 0.000
0.000 4.447 0.000
0.000 0.000 4.899
Hf Tl Zn Co
1 1 1 2
Direct
0.000 0.000 0.000
0.500 0.500 0.000
0.000 0.000 0.500
0.000 0.500 0.500
0.500 0.000 0.500
```


# 7
Material: Cs12IO3F4
Method: DFT, PBE
State: optimized geometry

## Properties
* energy relative to the elements, uncorrected: -1.59 eV/atom
* symmetry: Im-3

```
Cs12IO3F4
1.0
-5.687 5.687 5.687
5.687 -5.687 5.687
5.687 5.687 -5.687
Cs I O F
12 1 3 4
Direct
0.152 0.827 0.325
0.173 0.325 0.499
0.173 0.675 0.848
0.325 0.152 0.827
0.325 0.499 0.173
0.499 0.173 0.325
0.501 0.827 0.675
0.675 0.501 0.827
0.675 0.848 0.173
0.827 0.325 0.152
0.827 0.675 0.501
0.848 0.173 0.675
0.000 0.000 0.000
0.000 0.500 0.500
0.500 0.000 0.500
0.500 0.500 0.000
0.000 0.000 0.500
0.000 0.500 0.000
0.500 0.000 0.000
0.500 0.500 0.500
```


# 8
Material: KMn2AlFe
Method: DFT, PBE
State: optimized geometry

## Properties
* energy relative to the elements: 1421 kJ/mol of formula units
* symmetry: P4/mmm

```
KMn2AlFe
1.0
4.063 0.000 0.000
0.000 4.063 0.000
0.000 0.000 4.839
K Mn Al Fe
1 2 1 1
Direct
0.000 0.000 0.000
0.000 0.500 0.000
0.500 0.000 0.000
0.000 0.000 0.500
0.500 0.500 0.500
```


# 9
Material: Pm3NdAl8
Method: DFT, PBE
State: optimized geometry

## Properties
* polymorph energy (0 for the lowest one): 0.011 eV/atom
* energy relative to the elements: -574 kJ/mol of formula units
* symmetry: P3m1

```
Pm3NdAl8
1.0
5.654 0.000 0.000
-2.827 4.897 0.000
0.000 0.000 9.319
Pm Nd Al
3 1 8
Direct
0.000 0.000 0.000
0.000 0.000 0.364
0.333 0.667 0.864
0.333 0.667 0.500
0.009 0.504 0.181
0.324 0.162 0.683
0.496 0.504 0.181
0.496 0.991 0.181
0.667 0.333 0.432
0.667 0.333 0.932
0.838 0.162 0.683
0.838 0.676 0.683
```


# 10
Material: CeCdNi
Method: DFT, PBE
State: optimized geometry

## Properties
* energy relative to the elements: -100 kJ/mol of formula units
* symmetry: Cmcm

```
CeCdNi
1.0
1.761 -8.558 0.000
1.761 8.558 0.000
0.000 0.000 4.203
Ce Cd Ni
2 2 2
Direct
0.089 0.911 0.750
0.911 0.089 0.250
0.293 0.707 0.750
0.707 0.293 0.250
0.453 0.547 0.750
0.547 0.453 0.250
```


# 11
Material: NbCo2Si
Method: DFT, PBE
State: optimized geometry

## Properties
* energy relative to the elements, uncorrected: 0.06 eV/atom
* polymorph energy (0 for the lowest one): 0.492 eV/atom
* symmetry: I-42d

```
NbCo2Si
1.0
-1.858 1.858 8.165
1.858 -1.858 8.165
1.858 1.858 -8.165
Nb Co Si
2 4 2
Direct
0.000 0.000 0.000
0.750 0.250 0.500
0.168 0.625 0.043
0.375 0.418 0.543
0.582 0.125 0.957
0.875 0.832 0.457
0.250 0.750 0.500
0.500 0.500 0.000
```


# 12
Material: SiAuCl2
Method: DFT, PBE
State: optimized geometry

## Properties
* energy relative to the elements, uncorrected: 0.28 eV/atom
* polymorph energy (0 for the lowest one): 0.677 eV/atom
* symmetry: I-42d

```
SiAuCl2
1.0
-2.309 2.309 8.497
2.309 -2.309 8.497
2.309 2.309 -8.497
Si Au Cl
2 2 4
Direct
0.000 0.000 0.000
0.750 0.250 0.500
0.250 0.750 0.500
0.500 0.500 0.000
0.119 0.625 0.994
0.375 0.369 0.494
0.631 0.125 0.006
0.875 0.881 0.506
```


Number 1: N(E_F) 0.547 states/eV/atom, electronic total energy -0.2926 Ry/atom. Number 2: N(E_F) 1.007 states/eV/atom, electronic total energy -0.2561 Ry/atom. Number 3: N(E_F) 0.607 states/eV/atom, electronic total energy -0.3567 Ry/atom. Number 4: N(E_F) 1.297 states/eV/atom, electronic total energy -0.3327 Ry/atom. Number 5: N(E_F) 0.953 states/eV/atom, electronic total energy -0.3879 Ry/atom. Number 6: N(E_F) 1.208 states/eV/atom, electronic total energy -0.3460 Ry/atom. Number 7: N(E_F) 0.140 states/eV/atom, electronic total energy -0.2422 Ry/atom. Number 8: N(E_F) 2.439 states/eV/atom, electronic total energy -0.2486 Ry/atom. Number 9: N(E_F) 0.511 states/eV/atom, electronic total energy -0.3363 Ry/atom. Number 10: N(E_F) 1.330 states/eV/atom, electronic total energy -0.3349 Ry/atom. Number 11: N(E_F) 0.859 states/eV/atom, electronic total energy -0.5412 Ry/atom. Number 12: N(E_F) 0.538 states/eV/atom, electronic total energy -0.2073 Ry/atom.